(w)
Entry from Alexandria: a relaxed SrAgW crystal (PBE-GGA).

Computed properties:
Magnetization   0.0 μB/cell

Cell: 2.8990 4.1485 11.6719 Å, 90.00 90.00 90.00°
Closest atoms and distances in Å follow each position.
Space group Imm2 (No. 44)
Symmetry-distinct sites (fractional):
Sr 0.0000 0.0000 0.0000 x2  2 Sr 2.90
Ag 0.0000 0.0000 0.6999 x2  4 W 2.76, 2 Ag 2.90
W 0.0000 0.0000 0.2949 x2  4 Ag 2.76, 2 W 2.90

=====

(x)
Entry from Alexandria: a relaxed SrAgW crystal (PBE-GGA).

Computed properties:
Magnetization   0.0 μB/cell

Cell: 2.9652 2.9652 14.5449 Å, 90.00 90.00 90.00°
Closest atoms and distances in Å follow each position.
Space group I4mm (No. 107)
Symmetry-distinct sites (fractional):
Sr 0.0000 0.0000 0.0000 x2  4 Sr 2.97
Ag 0.0000 0.0000 0.3152 x2  4 W 2.90, 4 Ag 2.97
W 0.0000 0.0000 0.6776 x2  4 Ag 2.90, 4 W 2.97

=====

Which of them is most stable, and which least? Most stable: (x); least stable: (w).

=====

(w)
Entry from Alexandria: a relaxed SrY2Ag crystal (PBE-GGA).

Computed properties:
Magnetization   0.0 μB/cell

Cell: 4.6869 4.6869 11.4738 Å, 90.00 90.00 90.00°
Closest atoms and distances in Å follow each position.
Space group I4/mmm (No. 139)
Symmetry-distinct sites (fractional):
Sr 0.0000 0.0000 0.0000 x2  4 Ag 3.31, 8 Y 3.70
Y 0.0000 0.5000 0.2500 x4  4 Y 3.31, 4 Ag 3.70, 4 Sr 3.70
Ag 0.0000 0.0000 0.5000 x2  4 Sr 3.31, 8 Y 3.70

=====

(x)
Entry from Alexandria: a relaxed SrY2Ag crystal (PBE-GGA).

Computed properties:
Magnetization   0.0 μB/cell

Cell: 3.8533 5.1344 6.7781 Å, 90.00 106.49 90.00°
Closest atoms and distances in Å follow each position.
Space group P2/m (No. 10)
Symmetry-distinct sites (fractional):
Sr 0.0000 0.0000 0.0000 x1  2 Ag 3.39, 8 Y 3.68-3.75
Y 0.3741 0.5000 0.7130 x2  2 Ag 3.09, 2 Y 3.30-3.45
Ag 0.0000 0.0000 0.5000 x1  4 Y 3.09, 2 Sr 3.39

=====

Which of them is most stable, and which least? Most stable: (x); least stable: (w).